Record 1
DFT (PBE) results for a relaxed CoCuBMo crystal.

Unit cell a=5.608 b=5.608 c=5.608 alpha=90.00 beta=90.00 gamma=90.00
Space group F-43m (No. 216)
One atom of each set of equivalent atoms:
Co1 0.000 0.000 0.000 [4 per cell]
Cu1 0.250 0.250 0.750 [4 per cell]
B1 0.000 0.000 0.500 [4 per cell]
Mo1 0.250 0.250 0.250 [4 per cell]

Output
**Raw total energy**: -6.7601 eV/atom

Record 2
DFT (PBE) results for a relaxed IrOs2W2 crystal.

Unit cell a=3.774 b=3.774 c=12.011 alpha=90.00 beta=90.00 gamma=90.00
Space group I4/mmm (No. 139)
One atom of each set of equivalent atoms:
Ir1 0.000 0.000 0.000 [2 per cell]
Os1 0.000 0.500 0.250 [4 per cell]
W1 0.000 0.000 0.394 [4 per cell]

Output
**ΔH_f (0 K)**: 4.06 eV per formula unit

Record 3
DFT (PBE) results for a relaxed PmReSb crystal.

Unit cell a=6.751 b=6.751 c=6.751 alpha=90.00 beta=90.00 gamma=90.00
Space group F-43m (No. 216)
One atom of each set of equivalent atoms:
Pm1 0.000 0.000 0.000 [4 per cell]
Re1 0.000 0.000 0.500 [4 per cell]
Sb1 0.250 0.250 0.250 [4 per cell]

Output
**Raw total energy**: -6.5755 eV/atom

Record 4
DFT (PBE) results for a relaxed LiMgTlHg crystal.

Unit cell a=3.492 b=3.492 c=7.027 alpha=90.00 beta=90.00 gamma=90.00
Space group P4mm (No. 99)
One atom of each set of equivalent atoms:
Li1 0.000 0.000 0.000 [1 per cell]
Mg1 0.000 0.000 0.537 [1 per cell]
Tl1 0.500 0.500 0.252 [1 per cell]
Hg1 0.500 0.500 0.781 [1 per cell]

Output
**Raw total energy**: -1.7539 eV/atom

no.,ρ (g/cm3)
1,8.631
2,18.259
3,9.777
4,8.456